(1)
The following is a PBE-GGA calculation of an optimized crystal structure of Nb4W2S3N3, from the Open Quantum Materials Database.

Lattice parameters (Å, degrees): 5.5474 5.5474 12.3118 103.79 103.79 61.23
With the nearest neighbours (Å) after each atom.
Fractional positions:
S  0.5689  0.7534  0.7376  2 W 2.43-2.53, 4 Nb 2.53-2.60
S  0.4311  0.2466  0.2624  2 W 2.43-2.53, 4 Nb 2.53-2.60
S  0.7534  0.5689  0.2376  2 W 2.43-2.53, 4 Nb 2.53-2.60
S  0.1034  0.8966  0.2500  4 Nb 2.62-2.65, 2 W 2.63
S  0.2466  0.4311  0.7624  2 W 2.43-2.53, 4 Nb 2.53-2.60
S  0.8966  0.1034  0.7500  4 Nb 2.62-2.65, 2 W 2.63
Nb  0.0659  0.1926  0.1011  3 N 2.19-2.28
Nb  0.1926  0.0659  0.6011  3 N 2.19-2.28
Nb  0.6839  0.8871  0.0989  3 N 2.23-2.42
Nb  0.3161  0.1129  0.9011  3 N 2.23-2.42
Nb  0.9341  0.8074  0.8989  3 N 2.19-2.28
Nb  0.8871  0.6839  0.5989  3 N 2.23-2.42
Nb  0.1129  0.3161  0.4011  3 N 2.23-2.42
Nb  0.8074  0.9341  0.3989  3 N 2.19-2.28
N  0.7904  0.3339  0.5085  2 W 2.12-2.26, 3 Nb 2.21-2.28
N  0.0000  0.5000  0.0000  2 W 2.13, 4 Nb 2.19-2.31
N  0.2096  0.6661  0.4915  2 W 2.12-2.26, 3 Nb 2.21-2.28
N  0.6661  0.2096  0.9915  2 W 2.12-2.26, 3 Nb 2.21-2.28
N  0.3339  0.7904  0.0085  2 W 2.12-2.26, 3 Nb 2.21-2.28
N  0.5000  0.0000  0.5000  2 W 2.13, 4 Nb 2.19-2.31
W  0.4697  0.3771  0.6048  3 N 2.12-2.26
W  0.6229  0.5303  0.8952  3 N 2.12-2.26
W  0.5303  0.6229  0.3952  3 N 2.12-2.26
W  0.3771  0.4697  0.1048  3 N 2.12-2.26

Values from the calculation:
Space-group type   No. 15

---

(2)
The following is a PBE-GGA calculation of an optimized crystal structure of Y4Nb2S3N3, from the Open Quantum Materials Database.

Lattice parameters (Å, degrees): 6.0407 6.0407 12.7098 103.37 103.37 60.27
With the nearest neighbours (Å) after each atom.
Fractional positions:
S  0.1167  0.8833  0.2500  2 Nb 2.71, 4 Y 2.76-2.78
S  0.2806  0.4186  0.7497  2 Nb 2.68-2.70, 4 Y 2.76-2.78
S  0.8833  0.1167  0.7500  2 Nb 2.71, 4 Y 2.76-2.78
S  0.5814  0.7194  0.7503  2 Nb 2.68-2.70, 4 Y 2.76-2.78
S  0.7194  0.5814  0.2503  2 Nb 2.68-2.70, 4 Y 2.76-2.78
S  0.4186  0.2806  0.2497  2 Nb 2.68-2.70, 4 Y 2.76-2.78
N  0.5000  0.0000  0.5000  2 Nb 2.32, 4 Y 2.38-2.39
N  0.6662  0.1684  0.9998  2 Nb 2.25-2.26, 4 Y 2.39-2.40
N  0.3338  0.8316  0.0002  2 Nb 2.25-2.26, 4 Y 2.39-2.40
N  0.8316  0.3338  0.5002  2 Nb 2.25-2.26, 4 Y 2.39-2.40
N  0.1684  0.6662  0.4998  2 Nb 2.25-2.26, 4 Y 2.39-2.40
N  0.0000  0.5000  0.0000  2 Nb 2.32, 4 Y 2.38-2.39
Nb  0.3701  0.5279  0.0876  3 N 2.25-2.32
Nb  0.4721  0.6299  0.4124  3 N 2.25-2.32
Nb  0.6299  0.4721  0.9124  3 N 2.25-2.32
Nb  0.5279  0.3701  0.5876  3 N 2.25-2.32
Y  0.7973  0.9659  0.3950  3 N 2.38-2.40
Y  0.2974  0.1340  0.8951  3 N 2.39-2.40
Y  0.1340  0.2974  0.3951  3 N 2.39-2.40
Y  0.9659  0.7973  0.8950  3 N 2.38-2.40
Y  0.8660  0.7026  0.6049  3 N 2.39-2.40
Y  0.7026  0.8660  0.1049  3 N 2.39-2.40
Y  0.0341  0.2027  0.1050  3 N 2.38-2.40
Y  0.2027  0.0341  0.6050  3 N 2.38-2.40

Values from the calculation:
Space-group type   No. 15

---

(3)
The following is a PBE-GGA calculation of an optimized crystal structure of Y2Nb4S3N3, from the Open Quantum Materials Database.

Lattice parameters (Å, degrees): 5.8808 5.8808 12.2722 103.30 103.30 60.59
With the nearest neighbours (Å) after each atom.
Fractional positions:
Y  0.6310  0.4652  0.3909  3 N 2.32-2.35
Y  0.3690  0.5348  0.6091  3 N 2.32-2.35
Y  0.4652  0.6310  0.8909  3 N 2.32-2.35
Y  0.5348  0.3690  0.1091  3 N 2.32-2.35
Nb  0.2983  0.1303  0.4130  3 N 2.18-2.27
Nb  0.8148  0.9580  0.9130  3 N 2.20-2.27
Nb  0.7017  0.8697  0.5870  3 N 2.18-2.27
Nb  0.1303  0.2983  0.9130  3 N 2.18-2.27
Nb  0.8697  0.7017  0.0870  3 N 2.18-2.27
Nb  0.1852  0.0420  0.0870  3 N 2.20-2.27
Nb  0.9580  0.8148  0.4130  3 N 2.20-2.27
Nb  0.0420  0.1852  0.5870  3 N 2.20-2.27
N  0.6626  0.1745  0.5002  4 Nb 2.18-2.27, 2 Y 2.32-2.33
N  0.1745  0.6626  0.0002  4 Nb 2.18-2.27, 2 Y 2.32-2.33
N  0.8255  0.3374  0.9998  4 Nb 2.18-2.27, 2 Y 2.32-2.33
N  0.5000  0.0000  0.0000  4 Nb 2.23, 2 Y 2.35
N  0.3374  0.8255  0.4998  4 Nb 2.18-2.27, 2 Y 2.32-2.33
N  0.0000  0.5000  0.5000  4 Nb 2.23, 2 Y 2.35
S  0.9465  0.0535  0.2500  4 Nb 2.66-2.67, 2 Y 2.73
S  0.2120  0.4231  0.2510  4 Nb 2.68-2.73, 2 Y 2.72-2.75
S  0.4231  0.2120  0.7510  4 Nb 2.68-2.73, 2 Y 2.72-2.75
S  0.7880  0.5769  0.7490  4 Nb 2.68-2.73, 2 Y 2.72-2.75
S  0.5769  0.7880  0.2490  4 Nb 2.68-2.73, 2 Y 2.72-2.75
S  0.0535  0.9465  0.7500  4 Nb 2.66-2.67, 2 Y 2.73

Values from the calculation:
Space-group type   No. 15

---

(4)
The following is a PBE-GGA calculation of an optimized crystal structure of Nb4ZnSN2, from the Open Quantum Materials Database.

Lattice parameters (Å, degrees): 3.2173 3.2173 12.5603 90.00 90.00 120.00
With the nearest neighbours (Å) after each atom.
Fractional positions:
Nb  0.6667  0.3333  0.8554  3 N 2.21
Nb  0.3333  0.6667  0.6727  3 N 2.15
Nb  0.3333  0.6667  0.3273  3 N 2.15
Nb  0.6667  0.3333  0.1446  3 N 2.21
N  0.0000  0.0000  0.7595  6 Nb 2.15-2.21
N  0.0000  0.0000  0.2405  6 Nb 2.15-2.21
Zn  0.6667  0.3333  0.5000  6 Nb 2.86
S  0.3333  0.6667  0.0000  6 Nb 2.60

Values from the calculation:
Space-group type   No. 187

---

(5)
The following is a PBE-GGA calculation of an optimized crystal structure of Zr2Nb4S3N3, from the Open Quantum Materials Database.

Lattice parameters (Å, degrees): 5.8021 5.8021 12.1312 103.81 103.81 60.10
With the nearest neighbours (Å) after each atom.
Fractional positions:
N  0.1868  0.6569  0.4996  4 Nb 2.20-2.26, 2 Zr 2.23-2.24
N  0.5000  0.0000  0.5000  2 Zr 2.20, 4 Nb 2.24
N  0.0000  0.5000  0.0000  2 Zr 2.20, 4 Nb 2.24
N  0.3431  0.8132  0.0004  4 Nb 2.20-2.26, 2 Zr 2.23-2.24
N  0.8132  0.3431  0.5004  4 Nb 2.20-2.26, 2 Zr 2.23-2.24
N  0.6569  0.1868  0.9996  4 Nb 2.20-2.26, 2 Zr 2.23-2.24
Nb  0.1212  0.3009  0.4091  3 N 2.20-2.26
Nb  0.1824  0.0458  0.5908  3 N 2.21-2.25
Nb  0.8176  0.9542  0.4092  3 N 2.21-2.25
Nb  0.6991  0.8788  0.0909  3 N 2.20-2.26
Nb  0.9542  0.8176  0.9092  3 N 2.21-2.25
Nb  0.0458  0.1824  0.0908  3 N 2.21-2.25
Nb  0.3009  0.1212  0.9091  3 N 2.20-2.26
Nb  0.8788  0.6991  0.5909  3 N 2.20-2.26
S  0.2333  0.4184  0.7528  4 Nb 2.64-2.69, 2 Zr 2.66-2.71
S  0.0659  0.9341  0.2500  4 Nb 2.60-2.62, 2 Zr 2.64
S  0.9341  0.0659  0.7500  4 Nb 2.60-2.62, 2 Zr 2.64
S  0.4184  0.2333  0.2528  4 Nb 2.64-2.69, 2 Zr 2.66-2.71
S  0.5816  0.7667  0.7472  4 Nb 2.64-2.69, 2 Zr 2.66-2.71
S  0.7667  0.5816  0.2472  4 Nb 2.64-2.69, 2 Zr 2.66-2.71
Zr  0.6458  0.4668  0.8979  3 N 2.20-2.24
Zr  0.3542  0.5332  0.1021  3 N 2.20-2.24
Zr  0.4668  0.6458  0.3979  3 N 2.20-2.24
Zr  0.5332  0.3542  0.6021  3 N 2.20-2.24

Values from the calculation:
Space-group type   No. 15

---

(6)
The following is a PBE-GGA calculation of an optimized crystal structure of Sc2Nb4Sb3N3, from the Open Quantum Materials Database.

Lattice parameters (Å, degrees): 5.8489 5.8489 13.4522 102.35 102.35 60.53
With the nearest neighbours (Å) after each atom.
Fractional positions:
Sb  0.9256  0.0744  0.2500  2 Sc 2.91, 4 Nb 2.94
Sb  0.5805  0.7638  0.2500  2 Sc 2.90-2.93, 4 Nb 2.93-2.99
Sb  0.4195  0.2362  0.7500  2 Sc 2.90-2.93, 4 Nb 2.93-2.99
Sb  0.7638  0.5805  0.7500  2 Sc 2.90-2.93, 4 Nb 2.93-2.99
Sb  0.2362  0.4195  0.2500  2 Sc 2.90-2.93, 4 Nb 2.93-2.99
Sb  0.0744  0.9256  0.7500  2 Sc 2.91, 4 Nb 2.94
Nb  0.1839  0.0378  0.0782  3 N 2.22-2.24
Nb  0.3074  0.1303  0.4219  3 N 2.23-2.24
Nb  0.1303  0.3074  0.9219  3 N 2.23-2.24
Nb  0.9622  0.8161  0.4218  3 N 2.22-2.24
Nb  0.8161  0.9622  0.9218  3 N 2.22-2.24
Nb  0.0378  0.1839  0.5782  3 N 2.22-2.24
Nb  0.8697  0.6926  0.0781  3 N 2.23-2.24
Nb  0.6926  0.8697  0.5781  3 N 2.23-2.24
Sc  0.6390  0.4712  0.4109  3 N 2.20-2.26
Sc  0.5288  0.3610  0.0891  3 N 2.20-2.26
Sc  0.3610  0.5288  0.5891  3 N 2.20-2.26
Sc  0.4712  0.6390  0.9109  3 N 2.20-2.26
N  0.6573  0.1868  0.5000  2 Sc 2.20-2.21, 4 Nb 2.23-2.24
N  0.5000  0.0000  0.0000  4 Nb 2.22-2.24, 2 Sc 2.26
N  0.1868  0.6573  0.0000  2 Sc 2.20-2.21, 4 Nb 2.23-2.24
N  0.0000  0.5000  0.5000  4 Nb 2.22-2.24, 2 Sc 2.26
N  0.8132  0.3427  0.0000  2 Sc 2.20-2.21, 4 Nb 2.23-2.24
N  0.3427  0.8132  0.5000  2 Sc 2.20-2.21, 4 Nb 2.23-2.24

Values from the calculation:
Space-group type   No. 15

---

| no. | raw total energy (eV/atom) | total moment (Bohr magnetons per cell) |
| --- | --- | --- |
| 1 | -9.1312 | 0.01 |
| 2 | -8.4639 | 0.00 |
| 3 | -8.7443 | 0.01 |
| 4 | -8.4738 | 0.00 |
| 5 | -9.0148 | 0.01 |
| 6 | -8.3478 | 0.00 |